(1)
# SrTl (PBE, relaxed)
data_SrTl
_chemical_formula_sum 'Sr1 Tl1'
_space_group_name_H-M_alt 'P -6 m 2'
_space_group_IT_number 187
_space_group_name_Hall 'P -6 2'
_cell_length_a 4.2331
_cell_length_b 4.2331
_cell_length_c 5.0009
_cell_angle_alpha 90.00
_cell_angle_beta 90.00
_cell_angle_gamma 120.00
loop_
_atom_site_label
_atom_site_fract_x
_atom_site_fract_y
_atom_site_fract_z
Sr1 0.0000 0.0000 0.0000
Tl1 0.6667 0.3333 0.5000
# E_tot (eV/atom): -2.262

***

(2)
# Sc2Ru (PBE, relaxed)
data_Sc2Ru
_chemical_formula_sum 'Sc8 Ru4'
_space_group_name_H-M_alt 'P a -3'
_space_group_IT_number 205
_space_group_name_Hall '-P 2ac 2ab 3'
_cell_length_a 6.3583
_cell_length_b 6.3583
_cell_length_c 6.3583
_cell_angle_alpha 90.00
_cell_angle_beta 90.00
_cell_angle_gamma 90.00
loop_
_atom_site_label
_atom_site_fract_x
_atom_site_fract_y
_atom_site_fract_z
Sc1 0.1650 0.1650 0.1650
Ru1 0.0000 0.0000 0.5000
# E_tot (eV/atom): -7.599

***

(3)
# Tm2LuRh (PBE, relaxed)
data_Tm2LuRh
_chemical_formula_sum 'Tm6 Lu3 Rh3'
_space_group_name_H-M_alt 'R -3 m'
_space_group_IT_number 166
_space_group_name_Hall '-R 3 2"'
_cell_length_a 3.6481
_cell_length_b 3.6481
_cell_length_c 28.1812
_cell_angle_alpha 90.00
_cell_angle_beta 90.00
_cell_angle_gamma 120.00
loop_
_atom_site_label
_atom_site_fract_x
_atom_site_fract_y
_atom_site_fract_z
Tm1 0.0000 0.0000 0.2280
Lu1 0.0000 0.0000 0.0000
Rh1 0.0000 0.0000 0.5000
# ΔE to the lowest computed polymorph (eV per atom): 0.118